## Ba3Ca (meta-GGA SCAN)

Data for a crystal of Ba3Ca relaxed with PBEsol.

POSCAR file:
```
Ba3Ca
1.0
-2.5496 0.6344 5.3339
4.1440 -3.5243 2.4000
6.2319 11.2075 -1.6683
Ba Ca
6 2
Cartesian
2.2398 5.1985 3.7663
2.0720 -1.7621 1.2000
5.5866 3.1192 2.2994
-1.2748 0.3172 2.6670
1.7499 2.4304 0.5474
6.0765 5.8873 5.5183
2.5674 1.0137 4.4207
5.2589 7.3040 1.6450
```

Summary:
Excess energy over the best structure of this formula in the dataset   33.6 meV per atom
D(E_F)   1.418 states/eV per atom
Formation energy   0.05 eV per atom